Entry 1:
# Y2CrPt | Alexandria | meta-GGA SCAN | PBEsol geometry
data_Y2CrPt
_cell_length_a 4.229
_cell_length_b 4.229
_cell_length_c 6.604
_cell_angle_alpha 71.33
_cell_angle_beta 71.33
_cell_angle_gamma 60.00
_symmetry_space_group_name_H-M 'P 1'
_symmetry_Int_Tables_number 1
loop_
_symmetry_equiv_pos_as_xyz
'x,y,z'
loop_
_atom_site_label
_atom_site_type_symbol
_atom_site_fract_x
_atom_site_fract_y
_atom_site_fract_z
Pt1 Pt 0.202 0.202 0.393
Cr1 Cr 0.546 0.546 0.363
Y1 Y 0.781 0.781 0.658
Y2 Y 0.971 0.971 0.087
# Energy of formation = -509.3 meV per atom


Entry 2:
# MnInCl | Alexandria | meta-GGA SCAN | PBEsol geometry
data_MnInCl
_cell_length_a 4.565
_cell_length_b 4.565
_cell_length_c 4.565
_cell_angle_alpha 60.00
_cell_angle_beta 60.00
_cell_angle_gamma 60.00
_symmetry_space_group_name_H-M 'P 1'
_symmetry_Int_Tables_number 1
loop_
_symmetry_equiv_pos_as_xyz
'x,y,z'
loop_
_atom_site_label
_atom_site_type_symbol
_atom_site_fract_x
_atom_site_fract_y
_atom_site_fract_z
Cl1 Cl 0.000 0.000 0.000
In1 In 0.500 0.500 0.500
Mn1 Mn 0.250 0.250 0.250
# Raw formation energy = 0.376 eV per formula unit


Entry 3:
# Sc2PBr | Alexandria | meta-GGA SCAN | PBEsol geometry
data_Sc2PBr
_cell_length_a 3.273
_cell_length_b 4.692
_cell_length_c 4.692
_cell_angle_alpha 90.00
_cell_angle_beta 90.00
_cell_angle_gamma 90.00
_symmetry_space_group_name_H-M 'P 1'
_symmetry_Int_Tables_number 1
loop_
_symmetry_equiv_pos_as_xyz
'x,y,z'
loop_
_atom_site_label
_atom_site_type_symbol
_atom_site_fract_x
_atom_site_fract_y
_atom_site_fract_z
Sc1 Sc 0.000 0.500 0.000
Sc2 Sc 0.000 0.000 0.500
P1 P 0.500 0.000 0.000
Br1 Br 0.500 0.500 0.500
# Raw formation energy = -3.898 eV per formula unit


Entry 4:
# CrIn2Au | Alexandria | meta-GGA SCAN | PBEsol geometry
data_CrIn2Au
_cell_length_a 3.202
_cell_length_b 3.202
_cell_length_c 7.615
_cell_angle_alpha 90.00
_cell_angle_beta 90.00
_cell_angle_gamma 90.00
_symmetry_space_group_name_H-M 'P 1'
_symmetry_Int_Tables_number 1
loop_
_symmetry_equiv_pos_as_xyz
'x,y,z'
loop_
_atom_site_label
_atom_site_type_symbol
_atom_site_fract_x
_atom_site_fract_y
_atom_site_fract_z
Cr1 Cr 0.500 0.500 0.730
In1 In 0.500 0.500 0.279
In2 In 0.000 0.000 0.963
Au1 Au 0.000 0.000 0.528
# Energy of formation = 1.7 meV per atom


Entry 5:
# YCrSe2 | Alexandria | meta-GGA SCAN | PBEsol geometry
data_YCrSe2
_cell_length_a 4.877
_cell_length_b 4.877
_cell_length_c 4.877
_cell_angle_alpha 60.00
_cell_angle_beta 60.00
_cell_angle_gamma 60.00
_symmetry_space_group_name_H-M 'P 1'
_symmetry_Int_Tables_number 1
loop_
_symmetry_equiv_pos_as_xyz
'x,y,z'
loop_
_atom_site_label
_atom_site_type_symbol
_atom_site_fract_x
_atom_site_fract_y
_atom_site_fract_z
Y1 Y 0.250 0.250 0.250
Cr1 Cr 0.500 0.500 0.500
Se1 Se 0.000 0.000 0.000
Se2 Se 0.750 0.750 0.750
# Raw formation energy = -1.766 eV per formula unit


Entry 6:
# YNiSe2 | Alexandria | meta-GGA SCAN | PBEsol geometry
data_YNiSe2
_cell_length_a 4.116
_cell_length_b 4.116
_cell_length_c 7.867
_cell_angle_alpha 74.84
_cell_angle_beta 74.84
_cell_angle_gamma 60.00
_symmetry_space_group_name_H-M 'P 1'
_symmetry_Int_Tables_number 1
loop_
_symmetry_equiv_pos_as_xyz
'x,y,z'
loop_
_atom_site_label
_atom_site_type_symbol
_atom_site_fract_x
_atom_site_fract_y
_atom_site_fract_z
Se1 Se 0.901 0.901 0.296
Se2 Se 0.099 0.099 0.704
Y1 Y 0.500 0.500 0.500
Ni1 Ni 0.000 0.000 0.000
# Raw formation energy = -4.091 eV per formula unit


Entry 7:
# Cs2HgTe | Alexandria | meta-GGA SCAN | PBEsol geometry
data_Cs2HgTe
_cell_length_a 6.203
_cell_length_b 6.203
_cell_length_c 6.203
_cell_angle_alpha 60.00
_cell_angle_beta 60.00
_cell_angle_gamma 60.00
_symmetry_space_group_name_H-M 'P 1'
_symmetry_Int_Tables_number 1
loop_
_symmetry_equiv_pos_as_xyz
'x,y,z'
loop_
_atom_site_label
_atom_site_type_symbol
_atom_site_fract_x
_atom_site_fract_y
_atom_site_fract_z
Cs1 Cs 0.250 0.250 0.250
Cs2 Cs 0.750 0.750 0.750
Te1 Te 0.000 0.000 0.000
Hg1 Hg 0.500 0.500 0.500
# Raw formation energy = -3.637 eV per formula unit


Entry 8:
# Ba2SbP | Alexandria | meta-GGA SCAN | PBEsol geometry
data_Ba2SbP
_cell_length_a 5.557
_cell_length_b 5.557
_cell_length_c 5.557
_cell_angle_alpha 60.00
_cell_angle_beta 60.00
_cell_angle_gamma 60.00
_symmetry_space_group_name_H-M 'P 1'
_symmetry_Int_Tables_number 1
loop_
_symmetry_equiv_pos_as_xyz
'x,y,z'
loop_
_atom_site_label
_atom_site_type_symbol
_atom_site_fract_x
_atom_site_fract_y
_atom_site_fract_z
Ba1 Ba 0.750 0.750 0.750
Ba2 Ba 0.000 0.000 0.000
Sb1 Sb 0.250 0.250 0.250
P1 P 0.500 0.500 0.500
# Raw formation energy = -1.247 eV per formula unit


Entry 9:
# TaMn2Hg | Alexandria | meta-GGA SCAN | PBEsol geometry
data_TaMn2Hg
_cell_length_a 3.003
_cell_length_b 3.003
_cell_length_c 8.445
_cell_angle_alpha 79.76
_cell_angle_beta 79.76
_cell_angle_gamma 60.00
_symmetry_space_group_name_H-M 'P 1'
_symmetry_Int_Tables_number 1
loop_
_symmetry_equiv_pos_as_xyz
'x,y,z'
loop_
_atom_site_label
_atom_site_type_symbol
_atom_site_fract_x
_atom_site_fract_y
_atom_site_fract_z
Ta1 Ta 0.500 0.500 0.500
Mn1 Mn 0.756 0.756 0.731
Mn2 Mn 0.244 0.244 0.269
Hg1 Hg 0.000 0.000 0.000
# Energy of formation = 158.1 meV per atom


Entry 10:
# B10Pb3O20 | Alexandria | meta-GGA SCAN | PBEsol geometry
data_B10Pb3O20
_cell_length_a 8.451
_cell_length_b 9.455
_cell_length_c 9.454
_cell_angle_alpha 120.00
_cell_angle_beta 90.00
_cell_angle_gamma 90.00
_symmetry_space_group_name_H-M 'P 1'
_symmetry_Int_Tables_number 1
loop_
_symmetry_equiv_pos_as_xyz
'x,y,z'
loop_
_atom_site_label
_atom_site_type_symbol
_atom_site_fract_x
_atom_site_fract_y
_atom_site_fract_z
O1 O 0.993 0.861 0.297
O2 O 0.957 0.333 0.667
O3 O 0.732 0.796 0.185
O4 O 0.218 0.350 0.235
O5 O 0.218 0.885 0.650
O6 O 0.494 0.298 0.861
O7 O 0.960 0.991 0.669
O8 O 0.218 0.764 0.115
O9 O 0.532 0.126 0.967
O10 O 0.732 0.389 0.204
O11 O 0.032 0.874 0.842
O12 O 0.459 0.669 0.991
O13 O 0.329 0.333 0.667
O14 O 0.460 0.009 0.678
O15 O 0.493 0.563 0.703
O16 O 0.718 0.650 0.885
O17 O 0.994 0.437 0.139
O18 O 0.267 0.039 0.508
O19 O 0.232 0.204 0.389
O20 O 0.460 0.322 0.331
O21 O 0.718 0.236 0.350
O22 O 0.767 0.531 0.492
O23 O 0.457 0.667 0.333
O24 O 0.232 0.611 0.815
O25 O 0.732 0.815 0.611
O26 O 0.829 0.667 0.333
O27 O 0.232 0.185 0.796
O28 O 0.267 0.492 0.531
O29 O 0.767 0.508 0.039
O30 O 0.494 0.140 0.437
O31 O 0.767 0.961 0.469
O32 O 0.718 0.115 0.765
O33 O 0.959 0.678 0.009
O34 O 0.267 0.469 0.961
O35 O 0.532 0.842 0.874
O36 O 0.032 0.967 0.126
O37 O 0.032 0.158 0.033
O38 O 0.532 0.033 0.158
O39 O 0.960 0.331 0.322
O40 O 0.994 0.702 0.563
Pb1 Pb 0.464 0.408 0.139
Pb2 Pb 0.964 0.592 0.731
Pb3 Pb 0.464 0.731 0.592
Pb4 Pb 0.964 0.269 0.861
Pb5 Pb 0.964 0.139 0.408
Pb6 Pb 0.464 0.861 0.269
B1 B 0.534 0.000 0.000
B2 B 0.553 0.190 0.323
B3 B 0.787 0.658 0.029
B4 B 0.287 0.629 0.971
B5 B 0.829 0.823 0.324
B6 B 0.829 0.501 0.177
B7 B 0.788 0.971 0.629
B8 B 0.053 0.810 0.132
B9 B 0.329 0.177 0.501
B10 B 0.829 0.676 0.499
B11 B 0.288 0.029 0.658
B12 B 0.288 0.342 0.371
B13 B 0.053 0.322 0.190
B14 B 0.553 0.132 0.810
B15 B 0.329 0.324 0.823
B16 B 0.788 0.371 0.342
B17 B 0.053 0.868 0.677
B18 B 0.034 0.000 0.000
B19 B 0.329 0.499 0.676
B20 B 0.553 0.678 0.868
# Raw formation energy = -72.055 eV per formula unit


Entry 11:
# SiTe2W | Alexandria | meta-GGA SCAN | PBEsol geometry
data_SiTe2W
_cell_length_a 3.566
_cell_length_b 3.566
_cell_length_c 7.296
_cell_angle_alpha 90.00
_cell_angle_beta 90.00
_cell_angle_gamma 90.00
_symmetry_space_group_name_H-M 'P 1'
_symmetry_Int_Tables_number 1
loop_
_symmetry_equiv_pos_as_xyz
'x,y,z'
loop_
_atom_site_label
_atom_site_type_symbol
_atom_site_fract_x
_atom_site_fract_y
_atom_site_fract_z
W1 W 0.500 0.500 0.500
Si1 Si 0.000 0.000 0.500
Te1 Te 0.000 0.500 0.201
Te2 Te 0.500 0.000 0.799
# Raw formation energy = 0.826 eV per formula unit


Entry 12:
# CoTePb2 | Alexandria | meta-GGA SCAN | PBEsol geometry
data_CoTePb2
_cell_length_a 3.761
_cell_length_b 5.176
_cell_length_c 5.176
_cell_angle_alpha 104.27
_cell_angle_beta 90.00
_cell_angle_gamma 90.00
_symmetry_space_group_name_H-M 'P 1'
_symmetry_Int_Tables_number 1
loop_
_symmetry_equiv_pos_as_xyz
'x,y,z'
loop_
_atom_site_label
_atom_site_type_symbol
_atom_site_fract_x
_atom_site_fract_y
_atom_site_fract_z
Pb1 Pb 0.000 0.000 0.500
Pb2 Pb 0.000 0.500 0.000
Co1 Co 0.500 0.500 0.500
Te1 Te 0.500 0.000 0.000
# Raw formation energy = 1.641 eV per formula unit